Entry 1:
The following is a GGA-PBE calculation of an optimized crystal structure of LiZrTa2, from Alexandria via LeMat-Bulk.

Lattice parameters (Å, degrees): 2.814 2.814 9.625 90.00 90.00 90.00
Sites, in units of the cell vectors:
Li 0.500 0.500 0.750
Ta 0.000 0.000 0.997
Ta 0.000 0.000 0.503
Zr 0.500 0.500 0.250

Results
formation energy from the elements	0.37	eV/atom
E above lowest polymorph	16.63	kJ/mol of atoms
Fermi-level density of states	3.02	states/eV/f.u.


Entry 2:
The following is a GGA-PBE calculation of an optimized crystal structure of LiZrTa, from Alexandria via LeMat-Bulk.

Lattice parameters (Å, degrees): 5.357 5.357 5.357 147.19 137.79 54.47
Sites, in units of the cell vectors:
Li 0.995 0.995 0.000
Ta 0.340 0.340 0.000
Zr 0.665 0.665 0.000

Results
formation energy from the elements	0.35	eV/atom
E above lowest polymorph	8.94	kJ/mol of atoms
Fermi-level density of states	2.61	states/eV/f.u.


Entry 3:
The following is a GGA-PBE calculation of an optimized crystal structure of LiZrTa2, from Alexandria via LeMat-Bulk.

Lattice parameters (Å, degrees): 4.785 2.691 5.998 80.03 90.00 90.00
Sites, in units of the cell vectors:
Li 0.500 0.811 0.753
Ta 0.000 0.922 0.015
Ta 0.500 0.246 0.227
Zr 0.000 0.521 0.505

Results
formation energy from the elements	0.30	eV/atom
E above lowest polymorph	9.72	kJ/mol of atoms
Fermi-level density of states	3.33	states/eV/f.u.


Entry 4:
The following is a GGA-PBE calculation of an optimized crystal structure of LiZrTa2, from Alexandria via LeMat-Bulk.

Lattice parameters (Å, degrees): 2.877 2.877 10.057 90.00 90.00 109.38
Sites, in units of the cell vectors:
Li 0.500 0.500 0.761
Ta 0.000 0.000 0.014
Ta 0.500 0.500 0.239
Zr 0.000 0.000 0.485

Results
formation energy from the elements	0.20	eV/atom
E above lowest polymorph	0.00	kJ/mol of atoms
Fermi-level density of states	4.62	states/eV/f.u.


Entry 5:
The following is a GGA-PBE calculation of an optimized crystal structure of LiZr3Ta, from Alexandria via LeMat-Bulk.

Lattice parameters (Å, degrees): 4.693 4.693 4.693 90.00 90.00 90.00
Sites, in units of the cell vectors:
Li 0.000 0.000 0.000
Zr 0.000 0.500 0.000
Zr 0.000 0.000 0.500
Zr 0.500 0.000 0.000
Ta 0.500 0.500 0.500

Results
formation energy from the elements	0.93	eV/atom
E above lowest polymorph	0.47	kJ/mol of atoms
Fermi-level density of states	11.23	states/eV/f.u.


Entry 6:
The following is a GGA-PBE calculation of an optimized crystal structure of LiZrTa, from Alexandria via LeMat-Bulk.

Lattice parameters (Å, degrees): 4.347 4.347 4.347 60.00 60.00 60.00
Sites, in units of the cell vectors:
Li 0.750 0.750 0.750
Ta 0.000 0.000 0.000
Zr 0.500 0.500 0.500

Results
formation energy from the elements	0.96	eV/atom
E above lowest polymorph	67.64	kJ/mol of atoms
Fermi-level density of states	4.64	states/eV/f.u.


Entry 7:
The following is a GGA-PBE calculation of an optimized crystal structure of LiZrTa, from Alexandria via LeMat-Bulk.

Lattice parameters (Å, degrees): 2.900 2.900 8.188 90.00 90.00 120.00
Sites, in units of the cell vectors:
Li 0.000 0.000 0.010
Ta 0.667 0.333 0.328
Zr 0.333 0.667 0.662

Results
formation energy from the elements	0.30	eV/atom
E above lowest polymorph	3.34	kJ/mol of atoms
Fermi-level density of states	2.69	states/eV/f.u.


Entry 8:
The following is a GGA-PBE calculation of an optimized crystal structure of LiZrTa2, from Alexandria via LeMat-Bulk.

Lattice parameters (Å, degrees): 3.461 4.455 4.764 90.00 90.00 90.00
Sites, in units of the cell vectors:
Li 0.000 0.500 0.500
Ta 0.000 0.000 0.000
Ta 0.500 0.500 0.000
Zr 0.500 0.000 0.500

Results
formation energy from the elements	0.31	eV/atom
E above lowest polymorph	11.12	kJ/mol of atoms
Fermi-level density of states	5.77	states/eV/f.u.


Entry 9:
The following is a GGA-PBE calculation of an optimized crystal structure of LiZrTa2, from Alexandria via LeMat-Bulk.

Lattice parameters (Å, degrees): 2.829 2.829 9.788 90.00 90.00 90.00
Sites, in units of the cell vectors:
Li 0.500 0.500 0.761
Ta 0.000 0.000 0.008
Ta 0.500 0.500 0.243
Zr 0.000 0.000 0.488

Results
formation energy from the elements	0.28	eV/atom
E above lowest polymorph	8.61	kJ/mol of atoms
Fermi-level density of states	5.31	states/eV/f.u.


Entry 10:
The following is a GGA-PBE calculation of an optimized crystal structure of LiZrTa, from Alexandria via LeMat-Bulk.

Lattice parameters (Å, degrees): 7.563 7.563 7.563 158.00 158.00 31.31
Sites, in units of the cell vectors:
Li 0.994 0.994 0.000
Ta 0.329 0.329 0.000
Zr 0.677 0.677 0.000

Results
formation energy from the elements	0.28	eV/atom
E above lowest polymorph	1.42	kJ/mol of atoms
Fermi-level density of states	2.70	states/eV/f.u.


Entry 11:
The following is a GGA-PBE calculation of an optimized crystal structure of LiZrTa2, from Alexandria via LeMat-Bulk.

Lattice parameters (Å, degrees): 5.326 5.326 5.326 135.14 135.14 65.31
Sites, in units of the cell vectors:
Li 0.750 0.250 0.500
Ta 0.000 0.000 0.000
Ta 0.500 0.500 0.000
Zr 0.250 0.750 0.500

Results
formation energy from the elements	0.32	eV/atom
E above lowest polymorph	12.44	kJ/mol of atoms
Fermi-level density of states	2.92	states/eV/f.u.


Entry 12:
The following is a GGA-PBE calculation of an optimized crystal structure of LiZrTa2, from Alexandria via LeMat-Bulk.

Lattice parameters (Å, degrees): 5.647 5.647 2.711 90.00 90.00 118.76
Sites, in units of the cell vectors:
Li 0.000 0.500 0.500
Ta 0.000 0.000 0.000
Ta 0.500 0.500 0.000
Zr 0.500 0.000 0.500

Results
formation energy from the elements	0.40	eV/atom
E above lowest polymorph	19.66	kJ/mol of atoms
Fermi-level density of states	4.18	states/eV/f.u.


Entry 13:
The following is a GGA-PBE calculation of an optimized crystal structure of LiZrTa3, from Alexandria via LeMat-Bulk.

Lattice parameters (Å, degrees): 4.517 4.517 4.517 90.00 90.00 90.00
Sites, in units of the cell vectors:
Li 0.000 0.000 0.000
Zr 0.500 0.500 0.500
Ta 0.000 0.500 0.000
Ta 0.000 0.000 0.500
Ta 0.500 0.000 0.000

Results
formation energy from the elements	1.00	eV/atom
E above lowest polymorph	0.00	kJ/mol of atoms
Fermi-level density of states	6.79	states/eV/f.u.


Entry 14:
The following is a GGA-PBE calculation of an optimized crystal structure of LiZrTa2, from Alexandria via LeMat-Bulk.

Lattice parameters (Å, degrees): 5.045 5.045 5.692 84.43 84.43 31.95
Sites, in units of the cell vectors:
Li 0.747 0.747 0.754
Ta 0.998 0.998 0.015
Ta 0.253 0.253 0.227
Zr 0.502 0.502 0.503

Results
formation energy from the elements	0.35	eV/atom
E above lowest polymorph	15.18	kJ/mol of atoms
Fermi-level density of states	4.22	states/eV/f.u.


Entry 15:
The following is a GGA-PBE calculation of an optimized crystal structure of LiZrTa, from Alexandria via LeMat-Bulk.

Lattice parameters (Å, degrees): 5.877 4.537 10.325 90.00 124.77 90.00
Sites, in units of the cell vectors:
Li 0.416 0.000 0.610
Li 0.416 0.500 0.110
Li 0.382 0.000 0.983
Li 0.382 0.500 0.483
Zr 0.380 0.000 0.276
Zr 0.380 0.500 0.776
Zr 0.925 0.000 0.640
Zr 0.925 0.500 0.140
Ta 0.814 0.000 0.933
Ta 0.814 0.500 0.433
Ta 0.920 0.000 0.326
Ta 0.920 0.500 0.826

Results
formation energy from the elements	0.31	eV/atom
E above lowest polymorph	4.76	kJ/mol of atoms
Fermi-level density of states	2.76	states/eV/f.u.


Entry 16:
The following is a GGA-PBE calculation of an optimized crystal structure of LiZr4Ta, from Alexandria via LeMat-Bulk.

Lattice parameters (Å, degrees): 5.760 5.760 5.760 60.00 60.00 60.00
Sites, in units of the cell vectors:
Li 0.750 0.750 0.750
Zr 0.882 0.373 0.373
Zr 0.373 0.373 0.882
Zr 0.373 0.882 0.373
Zr 0.373 0.373 0.373
Ta 0.000 0.000 0.000

Results
formation energy from the elements	0.62	eV/atom
Fermi-level density of states	10.95	states/eV/f.u.


Entry 17:
The following is a GGA-PBE calculation of an optimized crystal structure of LiTb3, from Alexandria via LeMat-Bulk.

Lattice parameters (Å, degrees): 6.003 6.003 6.003 132.05 132.05 70.15
Sites, in units of the cell vectors:
Li 0.000 0.000 0.000
Tb 0.750 0.250 0.500
Tb 0.250 0.750 0.500
Tb 0.500 0.500 0.000

Results
formation energy from the elements	0.18	eV/atom
E above lowest polymorph	10.26	kJ/mol of atoms
Fermi-level density of states	6.44	states/eV/f.u.


Entry 18:
The following is a GGA-PBE calculation of an optimized crystal structure of LiTb3, from Alexandria via LeMat-Bulk.

Lattice parameters (Å, degrees): 4.895 4.895 4.895 90.00 90.00 90.00
Sites, in units of the cell vectors:
Li 0.000 0.000 0.000
Tb 0.000 0.500 0.500
Tb 0.500 0.000 0.500
Tb 0.500 0.500 0.000

Results
formation energy from the elements	0.19	eV/atom
E above lowest polymorph	10.77	kJ/mol of atoms
Fermi-level density of states	6.50	states/eV/f.u.


Entry 19:
The following is a GGA-PBE calculation of an optimized crystal structure of LiTb5, from Alexandria via LeMat-Bulk.

Lattice parameters (Å, degrees): 4.975 4.923 7.865 108.24 90.00 90.00
Sites, in units of the cell vectors:
Tb 0.500 0.830 0.660
Tb 0.000 0.666 0.333
Tb 0.500 0.500 0.000
Tb 0.000 0.334 0.667
Tb 0.500 0.170 0.340
Li 0.000 0.000 0.000

Results
formation energy from the elements	0.11	eV/atom
Fermi-level density of states	8.89	states/eV/f.u.


Entry 20:
The following is a GGA-PBE calculation of an optimized crystal structure of LiTb3, from Alexandria via LeMat-Bulk.

Lattice parameters (Å, degrees): 3.753 5.497 6.525 114.91 106.71 90.00
Sites, in units of the cell vectors:
Tb 0.274 0.691 0.549
Tb 0.500 0.417 0.000
Tb 0.726 0.142 0.451
Li 0.000 0.917 0.000

Results
formation energy from the elements	0.08	eV/atom
E above lowest polymorph	0.00	kJ/mol of atoms
Fermi-level density of states	5.21	states/eV/f.u.


The records above yield mass density values of 10.03; 8.33; 10.04; 9.73; 7.42; 7.98; 7.77; 10.40; 9.75; 7.64; 10.32; 10.08; 11.55; 10.02; 8.20; 6.79; 6.87; 6.85; 7.28; 6.94 Mg/m³, respectively.